# RbTlNiO2

RbTlNiO2 after structural relaxation (PBE+U, Alexandria).

POSCAR file:
```
RbTlNiO2
1.0
4.390 0.000 0.000
0.000 4.390 0.000
0.000 0.000 4.845
Rb Tl Ni O
1 1 1 2
direct
0.000 0.000 0.000 Rb
0.500 0.500 0.000 Tl
0.500 0.500 0.500 Ni
0.000 0.500 0.500 O
0.500 0.000 0.500 O
```

Calculated values
- symmetry = No. 123
- calculated volume (Å³/atom) = 18.67
- DFT total energy (eV per atom) = -3.204